The following is a DFT calculation (GGA-PBEsol) of a geometry-optimized LaSi2W structure.

Lattice parameters (Å, degrees): 3.417 4.787 4.787 104.70 98.17 98.17
Sites, in units of the cell vectors:
1 La 0.500 0.000 0.000
2 Si 0.000 0.500 0.000
3 Si 0.000 0.000 0.500
4 W 0.500 0.500 0.500

Values from the calculation:
Calculated volume (Å³ per cell): 73.7
E_form (uncorrected) (kJ/mol of atoms): 27
Total moment (μB per cell): 0.00

=====

The following is a DFT calculation (GGA-PBEsol) of a geometry-optimized La4YSi structure.

Lattice parameters (Å, degrees): 6.366 6.366 6.366 60.00 60.00 60.00
Sites, in units of the cell vectors:
1 La 0.376 0.376 0.376
2 La 0.376 0.376 0.871
3 La 0.871 0.376 0.376
4 La 0.376 0.871 0.376
5 Si 0.750 0.750 0.750
6 Y 0.000 0.000 0.000

Values from the calculation:
Calculated volume (Å³ per cell): 182.4
E_form (uncorrected) (kJ/mol of atoms): 33
Total moment (μB per cell): 0.01

=====

The following is a DFT calculation (GGA-PBEsol) of a geometry-optimized La2YSi2 structure.

Lattice parameters (Å, degrees): 4.162 7.917 7.917 90.00 90.00 90.00
Sites, in units of the cell vectors:
1 Y 0.000 0.000 0.000
2 Y 0.000 0.500 0.500
3 Si 0.000 0.340 0.840
4 Si 0.000 0.840 0.660
5 Si 0.000 0.660 0.160
6 Si 0.000 0.160 0.340
7 La 0.500 0.142 0.642
8 La 0.500 0.642 0.858
9 La 0.500 0.858 0.358
10 La 0.500 0.358 0.142

Values from the calculation:
Calculated volume (Å³ per cell): 260.8
E_form (uncorrected) (kJ/mol of atoms): -63
Total moment (μB per cell): 0.35

=====

The following is a DFT calculation (GGA-PBEsol) of a geometry-optimized LaZnSi2 structure.

Lattice parameters (Å, degrees): 3.789 3.967 6.048 109.14 108.25 90.00
Sites, in units of the cell vectors:
1 La 0.711 0.211 0.422
2 Si 0.979 0.979 0.958
3 Si 0.332 0.832 0.665
4 Zn 0.477 0.477 0.955

Values from the calculation:
Calculated volume (Å³ per cell): 81.0
E_form (uncorrected) (kJ/mol of atoms): -31
Total moment (μB per cell): 0.00

=====

The following is a DFT calculation (GGA-PBEsol) of a geometry-optimized La2ZnSi structure.

Lattice parameters (Å, degrees): 3.917 4.707 5.937 113.35 109.26 90.00
Sites, in units of the cell vectors:
1 Zn 0.799 0.799 0.597
2 Si 0.452 0.952 0.904
3 La 0.018 0.518 0.036
4 La 0.231 0.231 0.462

Values from the calculation:
Calculated volume (Å³ per cell): 93.8
E_form (uncorrected) (kJ/mol of atoms): -48
Total moment (μB per cell): 0.00

=====

The following is a DFT calculation (GGA-PBEsol) of a geometry-optimized LaZnSi2 structure.

Lattice parameters (Å, degrees): 4.648 4.648 8.852 105.22 105.22 90.00
Sites, in units of the cell vectors:
1 Zn 0.750 0.250 0.500
2 Zn 0.500 0.500 0.000
3 Si 0.530 0.875 0.250
4 Si 0.720 0.375 0.250
5 Si 0.125 0.280 0.750
6 Si 0.625 0.470 0.750
7 La 0.250 0.750 0.500
8 La 0.000 0.000 0.000

Values from the calculation:
Calculated volume (Å³ per cell): 177.5
E_form (uncorrected) (kJ/mol of atoms): -22
Total moment (μB per cell): 0.00

=====

The following is a DFT calculation (GGA-PBEsol) of a geometry-optimized La2ZnSi structure.

Lattice parameters (Å, degrees): 3.423 3.992 7.180 90.00 90.00 90.00
Sites, in units of the cell vectors:
1 Zn 0.500 0.500 0.500
2 Si 0.500 0.500 0.000
3 La 0.000 0.000 0.762
4 La 0.000 0.000 0.238

Values from the calculation:
Calculated volume (Å³ per cell): 98.1
E_form (uncorrected) (kJ/mol of atoms): -42
Total moment (μB per cell): 0.00

=====

The following is a DFT calculation (GGA-PBEsol) of a geometry-optimized LaZn2Si structure.

Lattice parameters (Å, degrees): 2.859 5.378 5.976 115.90 102.39 93.15
Sites, in units of the cell vectors:
1 La 0.500 0.000 0.000
2 Si 0.000 0.500 0.000
3 Zn 0.000 0.000 0.500
4 Zn 0.500 0.500 0.500

Values from the calculation:
Calculated volume (Å³ per cell): 79.6
E_form (uncorrected) (kJ/mol of atoms): 6
Total moment (μB per cell): 0.10

=====

The following is a DFT calculation (GGA-PBEsol) of a geometry-optimized La2ZnSi structure.

Lattice parameters (Å, degrees): 3.964 4.683 5.080 90.00 90.00 90.00
Sites, in units of the cell vectors:
1 Zn 0.500 0.500 0.205
2 Si 0.500 0.000 0.549
3 La 0.000 0.000 0.072
4 La 0.000 0.500 0.673

Values from the calculation:
Calculated volume (Å³ per cell): 94.3
E_form (uncorrected) (kJ/mol of atoms): -45
Total moment (μB per cell): 0.00

=====

The following is a DFT calculation (GGA-PBEsol) of a geometry-optimized La2ZnSi structure.

Lattice parameters (Å, degrees): 4.323 4.323 6.151 90.00 90.00 90.00
Sites, in units of the cell vectors:
1 La 0.000 0.000 0.898
2 La 0.500 0.500 0.357
3 Si 0.000 0.000 0.401
4 Zn 0.500 0.500 0.844

Values from the calculation:
Calculated volume (Å³ per cell): 114.9
E_form (uncorrected) (kJ/mol of atoms): -15
Total moment (μB per cell): 1.06

=====

The following is a DFT calculation (GGA-PBEsol) of a geometry-optimized LaZr2ZnSi structure.

Lattice parameters (Å, degrees): 5.049 5.100 5.100 90.00 90.00 90.00
Sites, in units of the cell vectors:
1 Zn 0.500 0.000 0.000
2 Si 0.500 0.500 0.500
3 Zr 0.000 0.000 0.500
4 Zr 0.000 0.500 0.000
5 La 0.000 0.000 0.000

Values from the calculation:
Calculated volume (Å³ per cell): 131.3
E_form (uncorrected) (kJ/mol of atoms): 151
Total moment (μB per cell): 0.00

=====

The following is a DFT calculation (GGA-PBEsol) of a geometry-optimized LaZr2Si structure.

Lattice parameters (Å, degrees): 4.425 4.425 5.361 114.38 114.38 90.00
Sites, in units of the cell vectors:
1 La 0.500 0.500 0.000
2 Si 0.000 0.000 0.000
3 Zr 0.750 0.250 0.500
4 Zr 0.250 0.750 0.500

Values from the calculation:
Calculated volume (Å³ per cell): 85.2
E_form (uncorrected) (kJ/mol of atoms): -18
Total moment (μB per cell): 0.00

=====

The following is a DFT calculation (GGA-PBEsol) of a geometry-optimized LaZrSi2 structure.

Lattice parameters (Å, degrees): 4.064 4.486 4.484 90.00 90.00 90.00
Sites, in units of the cell vectors:
1 La 0.500 0.000 0.500
2 Si 0.000 0.000 0.000
3 Si 0.000 0.500 0.500
4 Zr 0.500 0.500 0.000

Values from the calculation:
Calculated volume (Å³ per cell): 81.8
E_form (uncorrected) (kJ/mol of atoms): -34
Total moment (μB per cell): 0.00

=====

The following is a DFT calculation (GGA-PBEsol) of a geometry-optimized LaZr2Si structure.

Lattice parameters (Å, degrees): 3.651 3.651 6.765 90.00 90.00 90.00
Sites, in units of the cell vectors:
1 La 0.000 0.000 0.533
2 Si 0.500 0.500 0.803
3 Zr 0.000 0.000 0.953
4 Zr 0.500 0.500 0.211

Values from the calculation:
Calculated volume (Å³ per cell): 90.2
E_form (uncorrected) (kJ/mol of atoms): -27
Total moment (μB per cell): 0.00

=====

The following is a DFT calculation (GGA-PBEsol) of a geometry-optimized La2ZrSi structure.

Lattice parameters (Å, degrees): 4.562 4.562 5.620 113.95 113.95 90.00
Sites, in units of the cell vectors:
1 La 0.000 0.000 0.000
2 La 0.750 0.250 0.500
3 Si 0.500 0.500 0.000
4 Zr 0.250 0.750 0.500

Values from the calculation:
Calculated volume (Å³ per cell): 95.8
E_form (uncorrected) (kJ/mol of atoms): -19
Total moment (μB per cell): 0.00

=====

The following is a DFT calculation (GGA-PBEsol) of a geometry-optimized LaZr2Si structure.

Lattice parameters (Å, degrees): 4.123 4.264 5.664 90.00 111.34 90.00
Sites, in units of the cell vectors:
1 La 0.528 0.000 0.055
2 Si 0.948 0.500 0.897
3 Zr 0.791 0.000 0.582
4 Zr 0.236 0.500 0.473

Values from the calculation:
Calculated volume (Å³ per cell): 92.8
E_form (uncorrected) (kJ/mol of atoms): -23
Total moment (μB per cell): 0.00

=====

The following is a DFT calculation (GGA-PBEsol) of a geometry-optimized La2ZrSi structure.

Lattice parameters (Å, degrees): 3.307 3.307 9.376 90.00 90.00 90.00
Sites, in units of the cell vectors:
1 La 0.000 0.000 0.780
2 La 0.000 0.000 0.220
3 Si 0.500 0.500 0.000
4 Zr 0.500 0.500 0.500

Values from the calculation:
Calculated volume (Å³ per cell): 102.5
E_form (uncorrected) (kJ/mol of atoms): -8
Total moment (μB per cell): 0.00

=====

The following is a DFT calculation (GGA-PBEsol) of a geometry-optimized La2ZrSi2 structure.

Lattice parameters (Å, degrees): 5.457 5.932 5.457 62.62 90.00 117.38
Sites, in units of the cell vectors:
1 Si 0.750 0.500 0.750
2 Si 0.250 0.500 0.250
3 Zr 0.000 0.000 0.000
4 La 0.664 0.328 0.336
5 La 0.336 0.672 0.664

Values from the calculation:
Calculated volume (Å³ per cell): 134.1
E_form (uncorrected) (kJ/mol of atoms): 25
Total moment (μB per cell): 0.95

=====

The following is a DFT calculation (GGA-PBEsol) of a geometry-optimized LaSmTl2 structure.

Lattice parameters (Å, degrees): 5.447 5.447 5.447 60.00 60.00 60.00
Sites, in units of the cell vectors:
1 Tl 0.250 0.250 0.250
2 Tl 0.750 0.750 0.750
3 Sm 0.000 0.000 0.000
4 La 0.500 0.500 0.500

Values from the calculation:
Calculated volume (Å³ per cell): 114.3
DFT formation energy (meV per atom): -454
Total moment (μB per cell): 0.00

=====

The following is a DFT calculation (GGA-PBEsol) of a geometry-optimized La3Sn7 structure.

Lattice parameters (Å, degrees): 4.581 4.671 12.901 90.00 100.23 90.00
Sites, in units of the cell vectors:
1 La 0.186 0.000 0.371
2 La 0.814 0.000 0.629
3 La 0.000 0.000 0.000
4 Sn 0.291 0.500 0.582
5 Sn 0.709 0.500 0.418
6 Sn 0.405 0.000 0.811
7 Sn 0.595 0.000 0.189
8 Sn 0.096 0.500 0.191
9 Sn 0.904 0.500 0.809
10 Sn 0.500 0.500 0.000

Values from the calculation:
Calculated volume (Å³ per cell): 271.7
DFT formation energy (meV per atom): -695
Total moment (μB per cell): 0.00

=====

The following is a DFT calculation (GGA-PBEsol) of a geometry-optimized La2Sn3 structure.

Lattice parameters (Å, degrees): 6.474 8.489 11.225 107.17 96.67 99.88
Sites, in units of the cell vectors:
1 Sn 0.051 0.353 0.378
2 Sn 0.949 0.647 0.622
3 Sn 0.356 0.165 0.496
4 Sn 0.644 0.835 0.504
5 Sn 0.437 0.170 0.050
6 Sn 0.563 0.830 0.950
7 Sn 0.326 0.601 0.137
8 Sn 0.674 0.399 0.863
9 Sn 0.223 0.405 0.866
10 Sn 0.777 0.595 0.134
11 Sn 0.180 0.040 0.223
12 Sn 0.820 0.960 0.777
13 La 0.330 0.031 0.743
14 La 0.670 0.969 0.257
15 La 0.957 0.252 0.054
16 La 0.043 0.748 0.946
17 La 0.559 0.432 0.337
18 La 0.441 0.568 0.663
19 La 0.125 0.754 0.383
20 La 0.875 0.246 0.617

Values from the calculation:
Calculated volume (Å³ per cell): 571.5
DFT formation energy (meV per atom): -797
Total moment (μB per cell): 0.00

=====

The following is a DFT calculation (GGA-PBEsol) of a geometry-optimized La3Sn structure.

Lattice parameters (Å, degrees): 4.938 4.938 4.938 90.00 90.00 90.00
Sites, in units of the cell vectors:
1 Sn 0.000 0.000 0.000
2 La 0.500 0.500 0.000
3 La 0.500 0.000 0.500
4 La 0.000 0.500 0.500

Values from the calculation:
Calculated volume (Å³ per cell): 120.4
DFT formation energy (meV per atom): -522
Total moment (μB per cell): 0.00

=====

The following is a DFT calculation (GGA-PBEsol) of a geometry-optimized La11Sn10 structure.

Lattice parameters (Å, degrees): 11.988 12.411 11.988 61.12 90.00 118.88
Sites, in units of the cell vectors:
1 La 0.661 0.322 0.339
2 La 0.339 0.678 0.661
3 La 0.179 0.000 0.179
4 La 0.821 0.000 0.821
5 La 0.179 0.000 0.821
6 La 0.821 0.000 0.179
7 La 0.809 0.618 0.442
8 La 0.809 0.618 0.940
9 La 0.060 0.618 0.191
10 La 0.558 0.618 0.191
11 La 0.191 0.382 0.558
12 La 0.191 0.382 0.060
13 La 0.940 0.382 0.809
14 La 0.442 0.382 0.809
15 La 0.603 0.206 0.718
16 La 0.603 0.206 0.076
17 La 0.924 0.206 0.397
18 La 0.282 0.206 0.397
19 La 0.397 0.794 0.282
20 La 0.397 0.794 0.924
21 La 0.076 0.794 0.603
22 La 0.718 0.794 0.603
23 Sn 0.895 0.789 0.105
24 Sn 0.105 0.211 0.895
25 Sn 0.750 0.500 0.750
26 Sn 0.250 0.500 0.250
27 Sn 0.377 0.000 0.377
28 Sn 0.623 0.000 0.623
29 Sn 0.377 0.000 0.623
30 Sn 0.623 0.000 0.377
31 Sn 0.368 0.000 0.000
32 Sn 0.632 0.000 0.000
33 Sn 0.000 0.000 0.632
34 Sn 0.000 0.000 0.368
35 Sn 0.890 0.360 0.530
36 Sn 0.470 0.360 0.110
37 Sn 0.890 0.360 0.110
38 Sn 0.470 0.360 0.530
39 Sn 0.110 0.640 0.470
40 Sn 0.530 0.640 0.890
41 Sn 0.110 0.640 0.890
42 Sn 0.530 0.640 0.470

Values from the calculation:
Calculated volume (Å³ per cell): 1302.9
DFT formation energy (meV per atom): -799
Total moment (μB per cell): 0.00

=====

The following is a DFT calculation (GGA-PBEsol) of a geometry-optimized LaSn3 structure.

Lattice parameters (Å, degrees): 4.722 4.722 4.722 90.00 90.00 90.00
Sites, in units of the cell vectors:
1 Sn 0.000 0.500 0.500
2 Sn 0.500 0.500 0.000
3 Sn 0.500 0.000 0.500
4 La 0.000 0.000 0.000

Values from the calculation:
Calculated volume (Å³ per cell): 105.3
DFT formation energy (meV per atom): -629
Total moment (μB per cell): 0.00

=====

The following is a DFT calculation (GGA-PBEsol) of a geometry-optimized Sr3LaSn structure.

Lattice parameters (Å, degrees): 5.918 5.918 5.918 90.00 90.00 90.00
Sites, in units of the cell vectors:
1 Sr 0.000 0.500 0.000
2 Sr 0.000 0.000 0.500
3 Sr 0.500 0.000 0.000
4 Sn 0.500 0.500 0.500
5 La 0.000 0.000 0.000

Values from the calculation:
Calculated volume (Å³ per cell): 207.3
DFT formation energy (meV per atom): 751
Total moment (μB per cell): 0.00

=====

The following is a DFT calculation (GGA-PBEsol) of a geometry-optimized La3TaSn structure.

Lattice parameters (Å, degrees): 5.466 5.466 5.466 90.00 90.00 90.00
Sites, in units of the cell vectors:
1 La 0.000 0.500 0.000
2 La 0.000 0.000 0.500
3 La 0.500 0.000 0.000
4 Sn 0.500 0.500 0.500
5 Ta 0.000 0.000 0.000

Values from the calculation:
Calculated volume (Å³ per cell): 163.3
DFT formation energy (meV per atom): 264
Total moment (μB per cell): 0.00